Sm3Ge2Rh2 at its PBEsol-relaxed geometry, computed with SCAN.

Output
**Energy of formation**: -1.015 eV/atom
**Density**: 9.19 g cm⁻³
**Symmetry**: Pbcm, No. 57

abc: 5.585 7.851 13.220
angles: 90.00 90.00 90.00
Element x y z (fractional)
Sm 0.144 0.393 0.400
Sm 0.856 0.893 0.400
Sm 0.856 0.607 0.900
Sm 0.856 0.893 0.100
Sm 0.856 0.607 0.600
Sm 0.635 0.255 0.250
Sm 0.144 0.393 0.100
Sm 0.144 0.107 0.600
Sm 0.144 0.107 0.900
Sm 0.365 0.745 0.750
Sm 0.635 0.245 0.750
Sm 0.365 0.755 0.250
Ge 0.862 0.608 0.250
Ge 0.344 0.750 0.000
Ge 0.862 0.892 0.750
Ge 0.138 0.108 0.250
Ge 0.656 0.250 0.500
Ge 0.656 0.250 0.000
Ge 0.344 0.750 0.500
Ge 0.138 0.392 0.750
Rh 0.377 0.460 0.592
Rh 0.623 0.960 0.592
Rh 0.377 0.040 0.408
Rh 0.377 0.040 0.092
Rh 0.377 0.460 0.908
Rh 0.623 0.540 0.408
Rh 0.623 0.540 0.092
Rh 0.623 0.960 0.908